# 1
Compound: Li6V5SbO12
Source: the Alexandria database
Functional: SCAN
Structure: single point on PBEsol structure

Output
- M_tot (μB per atom) = 0.42
- formation energy without anion corrections (meV per atom) = -2289

abc: 5.2446 9.0710 10.3391
angles: 90.00 99.74 90.00
Closest atoms and distances in Å follow each position.
Space group C2/m (No. 12)
Symmetry-distinct sites (fractional):
Li (0.2343, 0.1701, 0.2136) x8  4 O 1.86-2.05
Li (0.2450, 0.5000, 0.2139) x4  4 O 1.86-2.07
V (0.0000, 0.0000, 0.0000) x2  6 O 2.07-2.09
V (0.0000, 0.1666, 0.5000) x4  6 O 1.97
V (0.0000, 0.3352, 0.0000) x4  6 O 2.07-2.08
Sb (0.0000, 0.5000, 0.5000) x2  6 O 2.20
O (0.1297, 0.1674, 0.8910) x8  3 Li 2.03-2.04, 3 V 2.07-2.08
O (0.1305, 0.5000, 0.8873) x4  3 Li 2.05-2.07, 3 V 2.08-2.09
O (0.1666, 0.0000, 0.6041) x4  1 Li 1.86, 2 V 1.97
O (0.2192, 0.3159, 0.6042) x8  1 Li 1.86, 2 V 1.97

# 2
Compound: Li4V5Sb3O16
Source: the Alexandria database
Functional: SCAN
Structure: single point on PBEsol structure

Output
- M_tot (μB per atom) = 0.29
- formation energy without anion corrections (meV per atom) = -2119

abc: 6.1538 6.1774 9.3733
angles: 88.43 89.78 60.43
Closest atoms and distances in Å follow each position.
Space group P1 (No. 1)
Symmetry-distinct sites (fractional):
Li (0.0000, 0.0000, 0.0000) x1  2 O 1.87-2.02
Li (0.1248, 0.7286, 0.4977) x1  2 O 1.81-1.99
Li (0.3878, 0.0534, 0.5938) x1  4 O 2.01-2.15
Li (0.7241, 0.4324, 0.0892) x1  3 O 1.98-2.03
V (0.2594, 0.8990, 0.2679) x1  5 O 1.86-2.08
V (0.4184, 0.5756, 0.7884) x1  5 O 1.90-2.06
V (0.4369, 0.0565, 0.9807) x1  3 O 1.84-1.92
V (0.7241, 0.4234, 0.4998) x1  5 O 1.92-2.09
V (0.8417, 0.1029, 0.7358) x1  5 O 1.81-1.99
Sb (0.2420, 0.3965, 0.2504) x1  4 O 2.10-2.24
Sb (0.7514, 0.9105, 0.2767) x1  6 O 2.00-2.04
Sb (0.9231, 0.5564, 0.7815) x1  6 O 2.17-2.28
O (0.0183, 0.2549, 0.6329) x1  2 V 1.99-2.00, 1 Li 2.02, 1 Sb 2.19
O (0.0640, 0.7852, 0.1576) x1  1 Li 1.87, 1 V 1.97, 1 Sb 2.03
O (0.0879, 0.7755, 0.6881) x1  1 Li 1.81, 2 V 1.90-2.00
O (0.1330, 0.1900, 0.1242) x1  2 V 2.04-2.12, 1 Sb 2.10, 2 Li 2.11-2.22
O (0.3090, 0.3697, 0.8863) x1  2 V 1.88-1.92
O (0.3250, 0.8658, 0.8940) x1  2 V 1.84-1.90, 1 Li 2.02
O (0.4246, 0.0571, 0.3812) x1  1 Li 2.01, 2 Sb 2.02-2.17, 1 V 2.04
O (0.4323, 0.6100, 0.3810) x1  2 V 1.86-1.92, 1 Li 1.99
O (0.5628, 0.2757, 0.6275) x1  2 V 1.81-2.02
O (0.5812, 0.7828, 0.1454) x1  1 Li 1.98, 1 Sb 2.03, 2 V 2.09-2.10
O (0.5878, 0.2028, 0.1335) x1  1 Li 2.01, 2 Sb 2.04-2.17, 1 V 2.15
O (0.5931, 0.6808, 0.6473) x1  2 V 1.98-1.99, 1 Li 2.05, 1 Sb 2.17
O (0.7368, 0.9403, 0.8724) x1  2 V 1.90-1.92
O (0.7633, 0.3443, 0.8799) x1  2 V 1.92-2.06, 1 Li 2.03
O (0.8999, 0.6055, 0.4044) x1  1 Sb 2.00, 1 Li 2.08, 1 V 2.09
O (0.9284, 0.0619, 0.3819) x1  1 Sb 2.02, 1 Li 2.08, 1 V 2.08

# 3
Compound: Li3V3SbO8
Source: the Alexandria database
Functional: SCAN
Structure: single point on PBEsol structure

Output
- M_tot (μB per atom) = 0.47
- formation energy without anion corrections (meV per atom) = -2256

abc: 5.9619 5.9619 14.7103
angles: 90.00 90.00 120.00
Closest atoms and distances in Å follow each position.
Space group R-3m (No. 166, hexagonal axes)
Symmetry-distinct sites (fractional):
Li (0.0000, 0.5000, 0.0000) x9  6 O 2.17-2.18
V (0.0000, 0.5000, 0.5000) x9  6 O 2.05-2.07
Sb (0.0000, 0.0000, 0.5000) x3  6 O 2.01
O (0.0000, 0.0000, 0.2418) x6  3 V 2.05, 3 Li 2.18
O (0.0090, 0.5045, 0.2419) x18  1 Sb 2.01, 2 V 2.07, 2 Li 2.17

# 4
Compound: Li2V3SbO8
Source: the Alexandria database
Functional: SCAN
Structure: single point on PBEsol structure

Output
- distance to the lowest polymorph of the same formula (meV per atom) = 0.0
- M_tot (μB per atom) = 0.43
- formation energy without anion corrections (meV per atom) = -2364

abc: 8.3810 8.3810 8.3810
angles: 90.00 90.00 90.00
Closest atoms and distances in Å follow each position.
Space group P4_332 (No. 212)
Symmetry-distinct sites (fractional):
Li (0.0059, 0.0059, 0.0059) x8  4 O 1.92-1.98
V (0.1104, 0.1396, 0.6250) x12  6 O 1.97-2.05
Sb (0.1250, 0.8750, 0.3750) x4  6 O 2.03
O (0.1043, 0.1156, 0.3845) x24  1 Li 1.98, 1 Sb 2.03, 2 V 2.03-2.05
O (0.1239, 0.6239, 0.8761) x8  1 Li 1.92, 3 V 1.97

# 5
Compound: Li2V3SbO8
Source: the Alexandria database
Functional: SCAN
Structure: single point on PBEsol structure

Output
- distance to the lowest polymorph of the same formula (meV per atom) = 72.7
- M_tot (μB per atom) = 0.32
- formation energy without anion corrections (meV per atom) = -2291

abc: 5.7449 5.7449 15.8796
angles: 90.00 90.00 120.00
Closest atoms and distances in Å follow each position.
Space group R-3m (No. 166, hexagonal axes)
Symmetry-distinct sites (fractional):
Li (0.0000, 0.0000, 0.1199) x6  3 O 1.92
V (0.0000, 0.5000, 0.0000) x9  6 O 1.97-1.98
Sb (0.0000, 0.0000, 0.5000) x3  6 O 2.17
O (0.0000, 0.0000, 0.2650) x6  3 V 1.98
O (0.0203, 0.5102, 0.2615) x18  1 Li 1.92, 2 V 1.97

# 6
Compound: LiSbWO6
Source: the Alexandria database
Functional: SCAN
Structure: single point on PBEsol structure

Output
- distance to the lowest polymorph of the same formula (meV per atom) = 0.0
- M_tot (μB per atom) = 0.00
- formation energy without anion corrections (meV per atom) = -2035

abc: 4.6857 17.4290 5.0123
angles: 90.00 90.00 90.00
Closest atoms and distances in Å follow each position.
Space group Pbcn (No. 60)
Symmetry-distinct sites (fractional):
Li (0.0000, 0.0488, 0.2500) x4  6 O 2.07-2.25
Sb (0.0000, 0.2815, 0.7500) x4  6 O 1.99-2.01
W (0.0000, 0.3983, 0.2500) x4  4 O 1.75-1.92
O (0.2078, 0.3648, 0.5584) x8  1 W 1.92, 1 Sb 1.99
O (0.2409, 0.2944, 0.0799) x8  2 Sb 1.99-2.01
O (0.2454, 0.0410, 0.6046) x8  1 W 1.75

# 7
Compound: LiSbWO6
Source: the Alexandria database
Functional: SCAN
Structure: single point on PBEsol structure

Output
- distance to the lowest polymorph of the same formula (meV per atom) = 122.4
- M_tot (μB per atom) = 0.00
- formation energy without anion corrections (meV per atom) = -1913

abc: 7.1365 7.3254 10.2459
angles: 90.00 90.00 90.00
Closest atoms and distances in Å follow each position.
Space group Imma (No. 74)
Symmetry-distinct sites (fractional):
Li (0.0000, 0.0000, 0.0000) x4  6 O 2.49-2.56
Sb (0.2500, 0.2500, 0.2500) x4  6 O 1.98-1.99
W (0.0000, 0.0000, 0.5000) x4  6 O 1.90-1.91
O (0.0000, 0.2500, 0.1644) x4  2 Sb 1.99
O (0.0000, 0.2500, 0.5531) x4  2 W 1.91
O (0.1929, 0.0558, 0.3779) x16  1 W 1.90, 1 Sb 1.98

# 8
Compound: LiSbWO6
Source: the Alexandria database
Functional: SCAN
Structure: single point on PBEsol structure

Output
- distance to the lowest polymorph of the same formula (meV per atom) = 106.3
- M_tot (μB per atom) = 0.00
- formation energy without anion corrections (meV per atom) = -1929

abc: 7.3007 7.3007 10.2006
angles: 90.00 90.00 90.00
Closest atoms and distances in Å follow each position.
Space group P4_122 (No. 91)
Symmetry-distinct sites (fractional):
Li (0.0000, 0.3425, 0.0000) x4  2 O 2.00
Sb (0.0000, 0.2410, 0.5000) x4  6 O 1.95-2.00
W (0.2459, 0.5000, 0.2500) x4  6 O 1.89-1.94
O (0.0440, 0.0440, 0.3750) x4  2 Sb 1.95
O (0.0594, 0.4494, 0.3805) x8  1 W 1.94, 1 Li 2.00, 1 Sb 2.00
O (0.2382, 0.2578, 0.1856) x8  1 W 1.89, 1 Sb 1.99
O (0.4259, 0.4259, 0.3750) x4  2 W 1.91

# 9
Compound: Li3Zn2SbO6
Source: the Alexandria database
Functional: SCAN
Structure: single point on PBEsol structure

Output
- M_tot (μB per atom) = 0.00
- formation energy without anion corrections (meV per atom) = -1883

abc: 5.2494 9.0378 5.1796
angles: 90.00 110.22 90.00
Closest atoms and distances in Å follow each position.
Space group C2/m (No. 12)
Symmetry-distinct sites (fractional):
Li (0.0000, 0.0000, 0.0000) x2  6 O 2.12-2.28
Li (0.0000, 0.3286, 0.0000) x4  6 O 2.13-2.20
Zn (0.0000, 0.1665, 0.5000) x4  6 O 2.11-2.15
Sb (0.0000, 0.5000, 0.5000) x2  6 O 2.00-2.01
O (0.2359, 0.3419, 0.7378) x8  1 Sb 2.01, 2 Zn 2.12-2.15, 3 Li 2.12-2.20
O (0.2376, 0.5000, 0.2697) x4  1 Sb 2.00, 2 Zn 2.11, 2 Li 2.17

# 10
Compound: LiScTeO2
Source: the Alexandria database
Functional: SCAN
Structure: single point on PBEsol structure

Output
- M_tot (μB per atom) = 0.00
- formation energy without anion corrections (meV per atom) = -523

abc: 3.9079 3.9079 4.2820
angles: 90.00 90.00 90.00
Closest atoms and distances in Å follow each position.
Space group P4/mmm (No. 123)
Symmetry-distinct sites (fractional):
Li (0.0000, 0.0000, 0.0000) x1  4 O 1.95, 2 Sc 2.14
Sc (0.0000, 0.0000, 0.5000) x1  2 Li 2.14
Te (0.5000, 0.5000, 0.5000) x1  4 Sc 2.76, 8 O 2.90
O (0.0000, 0.5000, 0.0000) x2  2 Li 1.95

# 11
Compound: LiScWO2
Source: the Alexandria database
Functional: SCAN
Structure: single point on PBEsol structure

Output
- M_tot (μB per atom) = 0.00
- formation energy without anion corrections (meV per atom) = -751

abc: 3.8525 3.8525 4.8862
angles: 90.00 90.00 90.00
Closest atoms and distances in Å follow each position.
Space group P4/mmm (No. 123)
Symmetry-distinct sites (fractional):
Li (0.0000, 0.0000, 0.0000) x1  2 W 2.44, 4 Sc 2.72
Sc (0.5000, 0.5000, 0.0000) x1  4 Li 2.72
W (0.0000, 0.0000, 0.5000) x1  4 O 1.93
O (0.0000, 0.5000, 0.5000) x2  2 W 1.93

# 12
Compound: Li2Se2O7
Source: the Alexandria database
Functional: SCAN
Structure: single point on PBEsol structure

Output
- M_tot (μB per atom) = 0.00
- formation energy without anion corrections (meV per atom) = -1208

abc: 13.8592 8.4256 5.0920
angles: 90.00 90.00 90.00
Closest atoms and distances in Å follow each position.
Space group Pnma (No. 62)
Symmetry-distinct sites (fractional):
Li (0.1006, 0.0675, 0.0915) x8  5 O 1.96-2.08
Se (0.0031, 0.7500, 0.3917) x4  4 O 1.64-1.79
Se (0.2205, 0.7500, 0.2610) x4  3 O 1.63-1.64
O (0.0074, 0.0864, 0.7815) x8  1 Se 1.64
O (0.0624, 0.2500, 0.3406) x4  1 Se 1.64
O (0.1240, 0.7500, 0.5147) x4  2 Se 1.79-1.86
O (0.1836, 0.2500, 0.9490) x4  1 Se 1.64
O (0.2064, 0.5863, 0.0957) x8  1 Se 1.63

# 13
Compound: LiSeO2
Source: the Alexandria database
Functional: SCAN
Structure: single point on PBEsol structure

Output
- M_tot (μB per atom) = 0.00
- formation energy without anion corrections (meV per atom) = -651

abc: 3.4051 3.4051 16.4103
angles: 90.00 90.00 120.00
Closest atoms and distances in Å follow each position.
Space group R-3m (No. 166, hexagonal axes)
Symmetry-distinct sites (fractional):
Li (0.0000, 0.0000, 0.0000) x3  2 O 1.80
Se (0.0000, 0.0000, 0.5000) x3  6 O 2.18
O (0.0000, 0.0000, 0.1095) x6  1 Li 1.80

# 14
Compound: LiSe3O
Source: the Alexandria database
Functional: SCAN
Structure: single point on PBEsol structure

Output
- M_tot (μB per atom) = 0.00
- formation energy without anion corrections (meV per atom) = 65

abc: 4.4452 4.4452 4.4452
angles: 90.00 90.00 90.00
Closest atoms and distances in Å follow each position.
Space group Pm-3m (No. 221)
Symmetry-distinct sites (fractional):
Li (0.0000, 0.0000, 0.0000) x1  12 Se 3.14
Se (0.0000, 0.5000, 0.5000) x3  2 O 2.22
O (0.5000, 0.5000, 0.5000) x1  6 Se 2.22